Record 1
# YCdSN2, relaxed, DFT PBE
data_YCdSN2
_space_group_name_H-M_alt 'P 4/m m m'
_space_group_IT_number 123
_space_group_name_Hall '-P 4 2'
_cell_length_a 4.430
_cell_length_b 4.430
_cell_length_c 5.495
_cell_angle_alpha 90.00
_cell_angle_beta 90.00
_cell_angle_gamma 90.00
loop_
_atom_site_label
_atom_site_type_symbol
_atom_site_fract_x
_atom_site_fract_y
_atom_site_fract_z
_atom_site_occupancy
Y1 Y 0.000 0.000 0.000 1
Cd1 Cd 0.500 0.500 0.500 1
S1 S 0.000 0.000 0.500 1
N1 N 0.000 0.500 0.000 1
# relative energy among the computed polymorphs = 0.000 eV/atom
# ΔE_f (raw) = 0.61 eV per atom


Record 2
# UTa2NbC4, relaxed, DFT PBE
data_UTa2NbC4
_space_group_name_H-M_alt 'C m c m'
_space_group_IT_number 63
_space_group_name_Hall '-C 2c 2'
_cell_length_a 3.214
_cell_length_b 11.453
_cell_length_c 11.472
_cell_angle_alpha 90.00
_cell_angle_beta 90.00
_cell_angle_gamma 90.00
loop_
_atom_site_label
_atom_site_type_symbol
_atom_site_fract_x
_atom_site_fract_y
_atom_site_fract_z
_atom_site_occupancy
U1 U 0.000 0.140 0.250 1
Ta1 Ta 0.000 0.369 0.030 1
Nb1 Nb 0.000 0.130 0.750 1
C1 C 0.000 0.000 0.000 1
C2 C 0.000 0.255 0.613 1
C3 C 0.000 0.486 0.250 1
# formation energy = -1.48 eV/f.u.


Record 3
# Li3Zn2InAu3, relaxed, DFT PBE
data_Li3Zn2InAu3
_space_group_name_H-M_alt 'P -6 2 m'
_space_group_IT_number 189
_space_group_name_Hall 'P -6 -2'
_cell_length_a 7.6556
_cell_length_b 7.6556
_cell_length_c 2.8931
_cell_angle_alpha 90.00
_cell_angle_beta 90.00
_cell_angle_gamma 120.00
loop_
_atom_site_label
_atom_site_type_symbol
_atom_site_fract_x
_atom_site_fract_y
_atom_site_fract_z
_atom_site_occupancy
Li1 Li 0.0000 0.6834 0.0000 1
Zn1 Zn 0.3333 0.6667 0.0000 1
In1 In 0.0000 0.0000 0.5000 1
Au1 Au 0.0000 0.3745 0.5000 1
# formation energy = -3.26 eV/f.u.


no.,ρ (g/cm³)
1,4.0
2,11.7
3,9.7